! PBE TbDy2HfP4, relaxed; values from VASP
! mass density = 7.64 g cm⁻³
! DFT formation energy = -1.531 eV per atom
&SYSTEM
  ibrav = 0, nat = 8, ntyp = 4
/
ATOMIC_SPECIES
P 30.97 P.upf
Dy 162.50 Dy.upf
Tb 158.93 Tb.upf
Hf 178.49 Hf.upf
ATOMIC_POSITIONS angstrom
P 1.959 3.389 4.962
P 1.959 1.044 1.540
P 0.000 -0.145 4.852
Dy 1.959 -1.181 3.186
Tb 1.959 3.398 0.066
Dy 0.000 2.217 3.251
Hf 0.000 0.000 0.000
P 0.000 4.579 1.651
CELL_PARAMETERS angstrom
3.919 0.000 0.000
0.000 6.796 0.131
0.000 -2.363 6.371



! PBE GaAs2Cl, relaxed; values from VASP
! mass density = 4.56 g cm⁻³
! formation energy from raw total energies = -67 meV/atom
! relative energy among the computed polymorphs = 0 meV per atom
&SYSTEM
  ibrav = 0, nat = 8, ntyp = 3
/
ATOMIC_SPECIES
As 74.92 As.upf
Ga 69.72 Ga.upf
Cl 35.45 Cl.upf
ATOMIC_POSITIONS angstrom
As 4.972 5.214 8.805
As 0.752 2.983 2.935
Ga 0.000 0.000 0.000
As 2.983 2.741 8.805
As 3.225 0.994 2.935
Cl 1.989 1.989 0.000
Ga 3.977 1.989 5.870
Cl 1.989 3.977 5.870
CELL_PARAMETERS angstrom
3.977 0.000 0.000
0.000 3.977 0.000
1.989 1.989 11.740



! PBE BeCrRu2, relaxed; values from VASP
! mass density = 8.94 g cm⁻³
! DFT formation energy = 0.001 eV per atom
&SYSTEM
  ibrav = 0, nat = 4, ntyp = 3
/
ATOMIC_SPECIES
Cr 52.00 Cr.upf
Be 9.01 Be.upf
Ru 101.07 Ru.upf
ATOMIC_POSITIONS angstrom
Cr -4.020 2.410 -1.634
Be -6.910 5.339 -2.324
Ru -1.976 1.139 -0.822
Ru -3.805 4.715 -0.557
CELL_PARAMETERS angstrom
-1.002 -0.328 -2.488
-2.397 -1.200 -0.344
-4.645 6.358 -0.435



! PBE KN2ClF, relaxed; values from VASP
! mass density = 1.22 g cm⁻³
! formation energy from raw total energies = 1402 meV/atom
! relative energy among the computed polymorphs = 470 meV per atom
&SYSTEM
  ibrav = 0, nat = 5, ntyp = 4
/
ATOMIC_SPECIES
N 14.01 N.upf
Cl 35.45 Cl.upf
K 39.10 K.upf
F 19.00 F.upf
ATOMIC_POSITIONS angstrom
N -0.102 1.709 2.378
Cl 1.703 -0.968 4.379
N -0.566 -2.346 1.662
K 0.000 0.000 0.000
F 2.371 -0.331 0.340
CELL_PARAMETERS angstrom
-0.204 3.418 4.755
-1.131 -4.692 3.324
4.742 -0.662 0.679



! PBE CePr2Cd, relaxed; values from VASP
! mass density = 7.22 g cm⁻³
! DFT formation energy = 0.146 eV per atom
! relative energy among the computed polymorphs = 256 meV per atom
&SYSTEM
  ibrav = 0, nat = 4, ntyp = 3
/
ATOMIC_SPECIES
Cd 112.41 Cd.upf
Ce 140.12 Ce.upf
Pr 140.91 Pr.upf
ATOMIC_POSITIONS angstrom
Cd 3.412 1.970 6.096
Ce 0.000 0.000 0.000
Pr 1.706 0.985 8.875
Pr 5.118 2.955 3.316
CELL_PARAMETERS angstrom
3.412 0.000 0.000
1.706 2.955 0.000
1.706 0.985 12.192



! PBE Ca2LaVBi, relaxed; values from VASP
! mass density = 4.92 g cm⁻³
! DFT formation energy = 0.882 eV per atom
&SYSTEM
  ibrav = 0, nat = 5, ntyp = 4
/
ATOMIC_SPECIES
Ca 40.08 Ca.upf
V 50.94 V.upf
Bi 208.98 Bi.upf
La 138.91 La.upf
ATOMIC_POSITIONS angstrom
Ca 2.941 0.000 0.000
V 0.000 2.338 0.000
Bi 2.941 2.338 2.941
Ca 0.000 0.000 2.941
La 0.000 0.000 0.000
CELL_PARAMETERS angstrom
5.882 0.000 0.000
0.000 4.676 0.000
0.000 0.000 5.882



Look up the mass density of the fourth one. 1.22 g cm⁻³